DFT (PBE-GGA) results for a relaxed Sc2FeCu crystal. Values from VASP.

Structure (Quantum ESPRESSO input):
```
&SYSTEM
  ibrav = 0, nat = 4, ntyp = 3
/
ATOMIC_SPECIES
Cu 63.55 Cu.upf
Fe 55.84 Fe.upf
Sc 44.96 Sc.upf
ATOMIC_POSITIONS crystal
Cu 0.5000 0.5000 0.5000
Fe 0.7500 0.7500 0.7500
Sc 0.0000 0.0000 0.0000
Sc 0.2500 0.2500 0.2500
CELL_PARAMETERS angstrom
-1.5205 -1.8873 3.7998
-1.0691 -4.3777 0.0706
2.5887 -2.9157 2.2604
```

Calculated values
DFT total energy, eV/atom: -6.1828
Size of the total moment, μB/cell: 1.92
ΔE_f, eV/atom: 0.123